A plane-wave DFT calculation with GGA-PBE was carried out for a geometry-optimized BaSrRh2 structure. Values from VASP.

The structure in Quantum ESPRESSO input format:
```
&SYSTEM
  ibrav = 0, nat = 16, ntyp = 3
/
ATOMIC_SPECIES
Ba 137.33 Ba.upf
Sr 87.62 Sr.upf
Rh 102.91 Rh.upf
CELL_PARAMETERS angstrom
7.285 0.000 0.000
0.000 7.285 0.000
0.000 0.000 7.285
ATOMIC_POSITIONS crystal
Ba 0.000 0.000 0.000
Ba 0.000 0.500 0.500
Ba 0.500 0.000 0.500
Ba 0.500 0.500 0.000
Sr 0.250 0.250 0.250
Sr 0.250 0.750 0.750
Sr 0.750 0.250 0.750
Sr 0.750 0.750 0.250
Rh 0.000 0.000 0.500
Rh 0.000 0.500 0.000
Rh 0.250 0.250 0.750
Rh 0.250 0.750 0.250
Rh 0.500 0.000 0.000
Rh 0.500 0.500 0.500
Rh 0.750 0.250 0.250
Rh 0.750 0.750 0.750
```

Computed properties:
The energy of formation from the pure elements comes out at 311 meV per atom. The relative energy among the computed polymorphs comes out at 494 meV/atom.